VASP calculation (GGA+U) on a geometry-optimized AlMoF3 structure.

Calculated values
spin magnetization = 3.87 μB/f.u.
electronic total energy = -4.774 eV per atom
N(E_F) = 0.445 states/eV/atom
ΔE to the lowest computed polymorph = 165 meV/atom

a = 4.418 Å, b = 4.418 Å, c = 4.418 Å
α = 90.00°, β = 90.00°, γ = 90.00°
Each line ends with the local moment (μB).
Sites, in units of the cell vectors:
Mo 0.000 0.000 0.000  3.32
Al 0.500 0.500 0.500  0.04
F 0.000 0.500 0.000  0.02
F 0.000 0.000 0.500  0.02
F 0.500 0.000 0.000  0.03